1.
This record from Alexandria describes a relaxed structure of HfTeIr. The functional is PBE.

It has space group Cm (No. 8), with a = 20.023 Å, b = 3.849 Å, c = 3.910 Å, α = 90.00°, β = 98.04° and γ = 90.00°. Symmetry generates all atoms from Hf at (0.000, 0.000, 0.000), Hf at (0.136, 0.500, 0.100), Te at (0.228, 0.000, 0.819), Te at (0.394, 0.500, 0.423), Ir at (0.098, 0.000, 0.575) and Ir at (0.497, 0.000, 0.495).

Its crystal system is monoclinic. The value obtained for the energy above the lowest structure with this stoichiometry is 0.0785 eV per atom. The calculation puts the uncorrected formation energy at -0.6387 eV per atom.

2.
This record from Alexandria describes a relaxed structure of CaNd2NpSb4. The functional is PBE.

It has space group P2/m (No. 10), with a = 7.766 Å, b = 4.491 Å, c = 7.780 Å, α = 90.00°, β = 109.16° and γ = 90.00°. Symmetry generates all atoms from Ca at (0.000, 0.000, 0.000), Nd at (0.500, 0.000, 0.500), Nd at (0.500, 0.500, 0.000), Np at (0.000, 0.500, 0.500), Sb at (0.242, 0.000, 0.742) and Sb at (0.245, 0.500, 0.256).

Its crystal system is monoclinic. The calculation puts the uncorrected formation energy at -0.8376 eV per atom.

3.
This record from Alexandria describes a relaxed structure of SrNi3BP. The functional is PBE.

It has space group Cmcm (No. 63), with a = 5.548 Å, b = 10.797 Å, c = 5.799 Å, α = 90.00°, β = 90.00° and γ = 90.00°. Symmetry generates all atoms from Sr at (0.000, 0.239, 0.250), Ni at (0.000, 0.312, 0.750), Ni at (0.239, 0.500, 0.000), B at (0.000, 0.490, 0.750) and P at (0.000, 0.108, 0.750).

Its crystal system is orthorhombic. The value obtained for the total DFT energy (no corrections) is -5.579 eV per atom.

4.
This record from Alexandria describes a relaxed structure of Pm4Sm19Dy6. The functional is PBE.

It has space group I23 (No. 197), with a = 12.622 Å, b = 12.622 Å, c = 12.622 Å, α = 90.00°, β = 90.00° and γ = 90.00°. Symmetry generates all atoms from Pm at (0.182, 0.182, 0.182), Sm at (0.000, 0.000, 0.000), Sm at (0.000, 0.000, 0.259), Sm at (0.060, 0.281, 0.737) and Dy at (0.000, 0.124, 0.500).

Its crystal system is cubic. The value obtained for the total DFT energy (no corrections) is -4.328 eV per atom.

5.
This record from Alexandria describes a relaxed structure of Ce2UPaP4. The functional is PBE.

It has space group P2/m (No. 10), with a = 6.940 Å, b = 4.000 Å, c = 6.987 Å, α = 90.00°, β = 109.28° and γ = 90.00°. Symmetry generates all atoms from Ce at (0.000, 0.000, 0.000), Ce at (0.500, 0.500, 0.000), U at (0.000, 0.500, 0.500), Pa at (0.500, 0.000, 0.500), P at (0.245, 0.000, 0.739) and P at (0.252, 0.500, 0.260).

Its crystal system is monoclinic. The value obtained for the total DFT energy (no corrections) is -8.101 eV per atom.

6.
This record from Alexandria describes a relaxed structure of Ac2PrAs3Pt4. The functional is PBE.

It has space group P-4m2 (No. 115), with a = 4.456 Å, b = 4.456 Å, c = 11.526 Å, α = 90.00°, β = 90.00° and γ = 90.00°. Symmetry generates all atoms from Ac at (0.000, 0.500, 0.219), Pr at (0.000, 0.000, 0.500), As at (0.000, 0.500, 0.882), As at (0.500, 0.500, 0.500), Pt at (0.000, 0.000, 0.000), Pt at (0.000, 0.500, 0.666) and Pt at (0.500, 0.500, 0.000).

Its crystal system is tetragonal. The value obtained for the total DFT energy (no corrections) is -6.055 eV per atom.

7.
This record from Alexandria describes a relaxed structure of Ac2PmPd9. The functional is PBE.

It has space group P4/mmm (No. 123), with a = 4.279 Å, b = 4.279 Å, c = 12.787 Å, α = 90.00°, β = 90.00° and γ = 90.00°. Symmetry generates all atoms from Ac at (0.000, 0.000, 0.170), Pm at (0.000, 0.000, 0.500), Pd at (0.000, 0.500, 0.000), Pd at (0.000, 0.500, 0.340), Pd at (0.500, 0.500, 0.170) and Pd at (0.500, 0.500, 0.500).

Its crystal system is tetragonal. The value obtained for the energy above the lowest structure with this stoichiometry is 0.0000 eV per atom.

8.
This record from Alexandria describes a relaxed structure of HfSbH2Au. The functional is PBE.

It has space group P4/mmm (No. 123), with a = 3.950 Å, b = 3.950 Å, c = 5.738 Å, α = 90.00°, β = 90.00° and γ = 90.00°. Symmetry generates all atoms from Hf at (0.000, 0.000, 0.000), Sb at (0.500, 0.500, 0.500), H at (0.000, 0.500, 0.500) and Au at (0.500, 0.500, 0.000).

Its crystal system is tetragonal. The value obtained for the total DFT energy (no corrections) is -4.283 eV per atom.

no.,spin magnetization (Bohr magnetons per cell),V (Å³ per cell)
1,0.0,298.4
2,3.2,256.3
3,0.0,347.4
4,0.0,2010.7
5,2.1,183.1
6,0.0,228.9
7,0.0,234.2
8,0.7,89.6